! ZrFeIF2, optimized geometry, DFT PBE with a Hubbard U; values from VASP
&SYSTEM
  ibrav = 0, nat = 5, ntyp = 4
/
ATOMIC_SPECIES
Zr 91.22 Zr.upf
Fe 55.84 Fe.upf
I 126.90 I.upf
F 19.00 F.upf
CELL_PARAMETERS angstrom
4.0661 0.0000 0.0000
0.0000 4.0661 0.0000
0.0000 0.0000 6.3911
ATOMIC_POSITIONS crystal
Zr 0.0000 0.0000 0.0000
Fe 0.0000 0.0000 0.5000
I 0.5000 0.5000 0.0000
F 0.0000 0.5000 0.5000
F 0.5000 0.0000 0.5000
! E_tot ... -24.57 eV per cell
! DOS at the Fermi energy ... 2.8 states/eV per cell
! SG ... No. 123